[1]
Ho2Ir5C4 | the Open Quantum Materials Database | PBE | relaxed; SG = Fmmm (69)
1.0
0.0000 4.8902 5.7136
2.6766 0.0000 5.7136
2.6766 4.8902 0.0000
Ho Ir C
2 5 4
Direct
0.1486 0.1486 0.8514 Ho
0.8514 0.8514 0.1486 Ho
0.5000 0.5000 0.0000 Ir
0.0000 0.0000 0.5000 Ir
0.7500 0.7500 0.7500 Ir
0.5000 0.5000 0.5000 Ir
0.2500 0.2500 0.2500 Ir
0.7838 0.4758 0.5242 C
0.4758 0.7838 0.2162 C
0.2162 0.5242 0.4758 C
0.5242 0.2162 0.7838 C

[2]
SmHoIr2C2N2 | the Open Quantum Materials Database | PBE | relaxed; SG = P4mm (99)
1.0
-3.2158 -1.5633 1.0994
1.8788 -2.9801 1.2581
0.6881 3.2116 6.5798
Ir N Sm Ho C
2 2 1 1 2
Direct
0.0000 0.5000 0.4963 Ir
0.5000 0.0000 0.4963 Ir
0.0000 0.0000 0.8506 N
0.5000 0.5000 0.1534 N
0.5000 0.5000 0.8318 Sm
0.0000 0.0000 0.1671 Ho
0.5000 0.5000 0.3429 C
0.0000 0.0000 0.6615 C

[3]
KHoC2O6 | the Open Quantum Materials Database | PBE | relaxed; SG = C2/c (15)
1.0
-4.3457 4.5876 0.0954
0.1143 -1.0178 6.2363
5.8169 3.3444 -1.1719
Ho C K O
2 4 2 12
Direct
0.5958 0.4042 0.7500 Ho
0.4042 0.5958 0.2500 Ho
0.6101 0.8560 0.7582 C
0.1440 0.3899 0.7418 C
0.3899 0.1440 0.2418 C
0.8560 0.6101 0.2582 C
0.8791 0.1209 0.2500 K
0.1209 0.8791 0.7500 K
0.9398 0.3975 0.7194 O
0.0602 0.6025 0.2806 O
0.4647 0.7031 0.6069 O
0.2136 0.2469 0.6139 O
0.7031 0.4647 0.1069 O
0.7864 0.7531 0.3861 O
0.7531 0.7864 0.8861 O
0.3975 0.9398 0.2194 O
0.5353 0.2969 0.3931 O
0.2469 0.2136 0.1139 O
0.6025 0.0602 0.7806 O
0.2969 0.5353 0.8931 O

[4]
KHo4C2S | the Open Quantum Materials Database | PBE | relaxed; SG = P-6m2 (187)
1.0
-0.2023 3.6324 -0.4224
-3.0083 -2.0566 -0.3665
-3.1484 1.7123 16.2343
K S Ho C
1 1 4 2
Direct
0.0000 0.0000 0.5000 K
0.6667 0.3333 0.0000 S
0.6667 0.3333 0.2701 Ho
0.0000 0.0000 0.8882 Ho
0.0000 0.0000 0.1118 Ho
0.6667 0.3333 0.7299 Ho
0.3333 0.6667 0.1969 C
0.3333 0.6667 0.8031 C

no.,energy (Ry per atom)
1,-0.58742
2,-0.60704
3,-0.55399
4,-0.43518